This record from Alexandria via LeMat-Bulk describes crystalline AlCrPdN2 at its relaxed geometry. The functional is PBE-GGA.

Cell: 3.6307 3.6307 5.3712 Å, 90.00 90.00 90.00°
Closest atoms and distances in Å follow each position.
Space group P4/mmm (No. 123)
Unique sites:
Al  0.0000  0.0000  0.0000 (multiplicity 1)  4 Pd 2.57, 2 Cr 2.69
Cr  0.0000  0.0000  0.5000 (multiplicity 1)  4 N 1.82
Pd  0.5000  0.5000  0.0000 (multiplicity 1)  4 Al 2.57
N  0.0000  0.5000  0.5000 (multiplicity 2)  2 Cr 1.82

## Properties
Calculated density   5.0 g/cm3
Volume   14.2 A^3/atom
Crystal system   tetragonal
Energy   -6.462 eV per atom
Magnetic moment   0.3 μB per formula unit
Formation energy without anion corrections   0.580 eV per atom